A plane-wave DFT calculation with GGA+U was carried out for an optimized crystal structure of Li4V2Cr3Sn3O16.

As for the total magnetization: 12.00 μB/cell. The total energy comes out at -6.769 eV per atom. The space-group type is Cm (8).

a = 6.100 Å, b = 6.100 Å, c = 9.662 Å
α = 89.69°, β = 89.69°, γ = 60.36°
Each line ends with the local moment (μB).
Fractional positions:
O  0.339  0.339  0.603  -0.03
O  0.957  0.526  0.346  -0.04
O  0.333  0.830  0.592  -0.02
O  0.042  0.488  0.841  -0.03
V  0.676  0.676  0.496  1.12
Li  0.671  0.671  0.889  0.00
O  0.672  0.160  0.101  -0.03
Sn  0.831  0.337  0.214  0.02
O  0.830  0.333  0.592  -0.02
Li  0.336  0.336  0.400  0.00
Sn  0.337  0.831  0.214  0.02
O  0.995  0.995  0.317  -0.02
Cr  0.179  0.657  0.714  3.01
Sn  0.171  0.171  0.713  0.03
O  0.482  0.482  0.836  -0.08
O  0.526  0.957  0.346  -0.04
Cr  0.830  0.830  0.216  3.00
O  0.671  0.671  0.100  -0.02
Li  0.993  0.993  0.501  0.00
O  0.521  0.521  0.350  0.00
O  0.488  0.042  0.841  -0.03
Li  0.983  0.983  0.990  0.00
O  0.162  0.162  0.095  0.00
V  0.338  0.338  0.984  1.93
O  0.996  0.996  0.804  -0.02
Cr  0.657  0.179  0.714  3.01
O  0.160  0.672  0.101  -0.03
O  0.824  0.824  0.594  -0.08